Material: K3AsS3
Method: DFT, GGA-PBE
State: optimized geometry

```
data_K3AsS3
_space_group_name_H-M_alt 'P 1'
_space_group_IT_number 1
_space_group_name_Hall 'P 1'
_cell_length_a 6.319
_cell_length_b 9.765
_cell_length_c 9.764
_cell_angle_alpha 119.86
_cell_angle_beta 90.00
_cell_angle_gamma 90.00
loop_
_atom_site_label
_atom_site_fract_x
_atom_site_fract_y
_atom_site_fract_z
_atom_site_occupancy
S1 0.750 0.195 0.391 1
S2 0.250 0.391 0.196 1
S3 0.750 0.609 0.804 1
S4 0.250 0.805 0.194 1
S5 0.750 0.195 0.806 1
S6 0.250 0.805 0.609 1
K1 0.250 0.638 0.819 1
K2 0.250 0.180 0.362 1
K3 0.250 0.181 0.820 1
K4 0.750 0.362 0.181 1
K5 0.750 0.820 0.638 1
K6 0.750 0.819 0.180 1
As1 0.250 0.667 0.333 1
As2 0.750 0.333 0.667 1
```

Properties
- Uncorrected formation energy: -0.673 eV/atom
- DOS at the Fermi energy: 0.519 states/eV per atom


Material: KAsS4
Method: DFT, GGA-PBE
State: optimized geometry

```
data_KAsS4
_space_group_name_H-M_alt 'P 1'
_space_group_IT_number 1
_space_group_name_Hall 'P 1'
_cell_length_a 5.708
_cell_length_b 5.709
_cell_length_c 14.698
_cell_angle_alpha 78.76
_cell_angle_beta 78.75
_cell_angle_gamma 89.95
loop_
_atom_site_label
_atom_site_fract_x
_atom_site_fract_y
_atom_site_fract_z
_atom_site_occupancy
S1 0.595 0.071 0.858 1
S2 0.953 0.929 0.142 1
S3 0.429 0.453 0.642 1
S4 0.571 0.095 0.358 1
S5 0.571 0.547 0.358 1
S6 0.405 0.929 0.142 1
S7 0.047 0.071 0.858 1
S8 0.429 0.905 0.642 1
K1 0.875 0.625 0.750 1
K2 0.125 0.375 0.250 1
As1 0.375 0.125 0.750 1
As2 0.625 0.875 0.250 1
```

Properties
- Uncorrected formation energy: -0.162 eV/atom
- DOS at the Fermi energy: 0.396 states/eV per atom


Material: KAsS3
Method: DFT, GGA-PBE
State: optimized geometry

```
data_KAsS3
_space_group_name_H-M_alt 'P 1'
_space_group_IT_number 1
_space_group_name_Hall 'P 1'
_cell_length_a 5.531
_cell_length_b 5.531
_cell_length_c 5.531
_cell_angle_alpha 90.00
_cell_angle_beta 90.00
_cell_angle_gamma 90.00
loop_
_atom_site_label
_atom_site_fract_x
_atom_site_fract_y
_atom_site_fract_z
_atom_site_occupancy
K1 0.000 0.000 0.000 1
S1 0.500 0.000 0.000 1
S2 0.000 0.000 0.500 1
S3 0.000 0.500 0.000 1
As1 0.500 0.500 0.500 1
```

Properties
- Uncorrected formation energy: 1.469 eV/atom
- DOS at the Fermi energy: 1.245 states/eV per atom


> Among the records above, which one has the highest DOS at the Fermi energy?

KAsS3


> uncorrected formation energy of number 1 (K3AsS3)?

-0.673 eV/atom


> Which formula does entry 1 have?

K3AsS3